A plane-wave DFT calculation with PBE was carried out for a relaxed structure of Tb4Er7Tm.

Geometry as POSCAR:
```
Tb4Er7Tm
1.0
5.9790 -2.9044 0.0000
5.9790 2.9044 0.0000
-5.9619 0.0000 11.0705
Tb Er Tm
4 7 1
Direct
0.0592 0.0592 0.3252 Tb
0.3640 0.3640 0.2241 Tb
0.6360 0.6360 0.7759 Tb
0.9408 0.9408 0.6748 Tb
0.0000 0.0000 0.0000 Er
0.2125 0.2125 0.9245 Er
0.2498 0.2498 0.6849 Er
0.3646 0.3646 0.4974 Er
0.6354 0.6354 0.5026 Er
0.7502 0.7502 0.3151 Er
0.7875 0.7875 0.0755 Er
0.5000 0.5000 0.0000 Tm
```

Computed properties:
* Fermi-level density of states: 20.4 states/eV per cell
* uncorrected energy: -51.36 eV per cell
* symmetry: No. 12
* formation enthalpy at 0 K: 0.298 eV per atom